PBE CdPb2Au4, relaxed; volume = 159.7 Å³/f.u.; energy = -43.964 eV per cell; crystal system = monoclinic
1.0
5.743 0.000 0.000
0.000 12.565 0.806
0.000 -1.348 4.339
Cd Au Pb
2 8 4
direct
0.750 0.966 0.036 Cd
0.250 0.034 0.964 Cd
0.996 0.874 0.481 Au
0.504 0.874 0.481 Au
0.004 0.126 0.519 Au
0.496 0.126 0.519 Au
0.250 0.467 0.728 Au
0.250 0.791 0.932 Au
0.750 0.209 0.068 Au
0.750 0.533 0.272 Au
0.250 0.307 0.125 Pb
0.750 0.375 0.673 Pb
0.750 0.693 0.875 Pb
0.250 0.625 0.327 Pb

PBE La2PrNdSm5, relaxed; volume = 314.6 Å³/f.u.; energy = -81.812 eV per cell; crystal system = tetragonal
1.0
8.820 0.000 0.000
0.000 8.820 0.000
-4.410 -4.410 8.089
Sm Pr Nd La
10 2 2 4
direct
0.853 0.928 0.281 Sm
0.928 0.428 0.281 Sm
0.353 0.853 0.281 Sm
0.572 0.647 0.719 Sm
0.647 0.147 0.719 Sm
0.500 0.500 0.000 Sm
0.072 0.572 0.719 Sm
0.428 0.353 0.281 Sm
0.147 0.072 0.719 Sm
0.000 0.000 0.000 Sm
0.250 0.250 0.500 Pr
0.750 0.750 0.500 Pr
0.250 0.750 0.500 Nd
0.750 0.250 0.500 Nd
0.881 0.619 0.000 La
0.119 0.381 0.000 La
0.381 0.881 0.000 La
0.619 0.119 0.000 La

PBE CrFeMo2, relaxed; volume = 56.4 Å³/f.u.; offset from the most stable computed form = 292 meV per atom; energy = -38.181 eV per cell; crystal system = trigonal
1.0
8.831 0.027 0.016
8.398 2.729 0.016
8.398 1.344 2.376
Cr Fe Mo
1 1 2
direct
0.250 0.250 0.250 Cr
0.750 0.750 0.750 Fe
0.001 0.001 0.001 Mo
0.499 0.499 0.499 Mo

PBE PrMg4Ni2, relaxed; volume = 141.1 Å³/f.u.; offset from the most stable computed form = 0 meV per atom; energy = -47.640 eV per cell; crystal system = tetragonal
1.0
-1.400 -3.609 0.414
7.888 -2.904 1.351
-0.944 1.324 8.356
Mg Ni Pr
8 4 2
direct
0.000 0.096 0.333 Mg
0.500 0.404 0.833 Mg
0.500 0.833 0.404 Mg
0.000 0.667 0.904 Mg
0.000 0.333 0.096 Mg
0.500 0.167 0.596 Mg
0.000 0.904 0.667 Mg
0.500 0.596 0.167 Mg
0.500 0.688 0.688 Ni
0.000 0.812 0.188 Ni
0.500 0.312 0.312 Ni
0.000 0.188 0.812 Ni
0.500 0.000 0.000 Pr
0.000 0.500 0.500 Pr

PBE Cu2AgSb, relaxed; volume = 66.3 Å³/f.u.; formation energy without anion corrections = 0.11 eV per atom; energy = -14.709 eV per cell; crystal system = tetragonal
1.0
-3.868 -1.026 1.094
0.946 -4.014 -0.419
1.080 -0.131 3.697
Ag Sb Cu
1 1 2
direct
0.000 0.500 0.500 Ag
0.500 0.000 0.500 Sb
0.500 0.500 0.000 Cu
0.000 0.000 0.000 Cu

PBE Mn2CdSi, relaxed; volume = 58.0 Å³/f.u.; offset from the most stable computed form = 189 meV per atom; formation energy without anion corrections = 0.20 eV per atom; energy = -23.887 eV per cell; crystal system = orthorhombic
1.0
4.679 -0.025 0.000
-1.350 4.480 0.000
0.000 0.000 2.770
Si Mn Cd
1 2 1
direct
0.500 0.000 0.500 Si
0.000 0.000 0.000 Mn
0.500 0.500 0.000 Mn
0.000 0.500 0.500 Cd

PBE LaEr4Zn, relaxed; volume = 173.4 Å³/f.u.; energy = -24.990 eV per cell; crystal system = tetragonal
1.0
-2.627 2.246 -0.875
-2.134 -2.769 -0.703
-4.293 0.023 12.949
Er Zn La
4 1 1
direct
0.500 0.500 0.190 Er
0.000 0.000 0.627 Er
0.000 0.000 0.373 Er
0.500 0.500 0.810 Er
0.500 0.500 0.500 Zn
0.000 0.000 0.000 La

PBE NdSm2Ho3Se6, relaxed; volume = 297.5 Å³/f.u.; formation energy without anion corrections = -1.78 eV per atom; energy = -70.190 eV per cell; crystal system = monoclinic
1.0
-1.648 3.562 -5.921
5.929 -3.900 0.304
-4.888 -5.312 -0.417
Se Nd Ho Sm
6 1 3 2
direct
0.912 0.576 0.737 Se
0.249 0.249 0.738 Se
0.088 0.424 0.263 Se
0.751 0.751 0.262 Se
0.424 0.088 0.263 Se
0.576 0.912 0.737 Se
0.000 0.000 0.000 Nd
0.835 0.165 0.500 Ho
0.500 0.500 0.500 Ho
0.165 0.835 0.500 Ho
0.666 0.334 0.000 Sm
0.334 0.666 0.000 Sm